(1)
VASP calculation (GGA-PBE) on Ac3ErSe6 after structural relaxation.

Computed properties:
The space group is P2_1/c, No. 14. The calculation puts the energy above the most stable polymorph in this dataset at 22 meV per atom. The uncorrected formation energy is -1.9545 eV per atom.

a = 7.3649 Å, b = 8.0279 Å, c = 12.9628 Å
α = 90.00°, β = 122.76°, γ = 90.00°
Element x y z (fractional)
Ac: 0.0000 0.0000 0.0000
Ac: 0.0000 0.5000 0.5000
Ac: 0.2920 0.0929 0.7545
Ac: 0.2920 0.4071 0.2545
Ac: 0.7080 0.5929 0.7455
Ac: 0.7080 0.9071 0.2455
Er: 0.5000 0.0000 0.5000
Er: 0.5000 0.5000 0.0000
Se: 0.1156 0.0565 0.2636
Se: 0.1156 0.4435 0.7636
Se: 0.2670 0.6800 0.0755
Se: 0.2670 0.8200 0.5755
Se: 0.4069 0.1951 0.0740
Se: 0.4069 0.3049 0.5740
Se: 0.5931 0.6951 0.4260
Se: 0.5931 0.8049 0.9260
Se: 0.7330 0.1800 0.4245
Se: 0.7330 0.3200 0.9245
Se: 0.8844 0.5565 0.2364
Se: 0.8844 0.9435 0.7364

***

(2)
VASP calculation (GGA-PBE) on TmHfAgPb after structural relaxation.

Computed properties:
The space group is F-43m, No. 216. For the formation energy, the calculation gives -0.064 eV/atom.

a = 5.0713 Å, b = 5.0713 Å, c = 5.0713 Å
α = 60.00°, β = 60.00°, γ = 60.00°
Element x y z (fractional)
Tm: 0.0000 0.0000 0.0000
Hf: 0.5000 0.5000 0.5000
Ag: 0.2500 0.2500 0.2500
Pb: 0.7500 0.7500 0.7500

***

(3)
VASP calculation (GGA-PBE) on LiZrPb2 after structural relaxation.

Computed properties:
The space group is R3m, No. 160. For the formation energy, the calculation gives 0.096 eV/atom.

a = 10.8167 Å, b = 10.8167 Å, c = 10.8167 Å
α = 17.75°, β = 17.75°, γ = 17.75°
Element x y z (fractional)
Li: 0.0000 0.0000 0.0000
Zr: 0.2547 0.2547 0.2547
Pb: 0.5065 0.5065 0.5065
Pb: 0.7431 0.7431 0.7431

***

(4)
VASP calculation (GGA-PBE) on MnCoNiP2 after structural relaxation.

Computed properties:
The space group is P4/mmm, No. 123. For the formation energy, the calculation gives 0.611 eV/atom.

a = 4.1577 Å, b = 4.1577 Å, c = 4.5978 Å
α = 90.00°, β = 90.00°, γ = 90.00°
Element x y z (fractional)
Mn: 0.0000 0.0000 0.0000
Co: 0.0000 0.0000 0.5000
Ni: 0.5000 0.5000 0.0000
P: 0.0000 0.5000 0.5000
P: 0.5000 0.0000 0.5000

***

(5)
VASP calculation (GGA-PBE) on Cs3CaBi2Se6 after structural relaxation.

Computed properties:
The space group is C2/m, No. 12. The uncorrected formation energy is -0.9565 eV per atom.

a = 7.5661 Å, b = 7.5661 Å, c = 8.7774 Å
α = 98.26°, β = 98.26°, γ = 120.00°
Element x y z (fractional)
Cs: 0.0000 0.0000 0.0000
Cs: 0.3347 0.6653 0.0000
Cs: 0.6653 0.3347 0.0000
Ca: 0.5000 0.5000 0.5000
Bi: 0.1666 0.8334 0.5000
Bi: 0.8334 0.1666 0.5000
Se: 0.0985 0.4365 0.3097
Se: 0.2252 0.2252 0.6893
Se: 0.4365 0.0985 0.3097
Se: 0.5635 0.9015 0.6903
Se: 0.7748 0.7748 0.3107
Se: 0.9015 0.5635 0.6903

***

(6)
VASP calculation (GGA-PBE) on Rb3TaBi3Se8 after structural relaxation.

Computed properties:
The space group is C2/m, No. 12. The uncorrected formation energy is -0.7468 eV per atom.

a = 8.4885 Å, b = 8.4885 Å, c = 9.5038 Å
α = 116.61°, β = 116.61°, γ = 59.87°
Element x y z (fractional)
Rb: 0.0000 0.0000 0.0000
Rb: 0.0000 0.5000 0.0000
Rb: 0.5000 0.0000 0.0000
Ta: 0.0000 0.0000 0.5000
Bi: 0.0000 0.5000 0.5000
Bi: 0.5000 0.0000 0.5000
Bi: 0.5000 0.5000 0.5000
Se: 0.2104 0.2104 0.6821
Se: 0.2104 0.7614 0.6821
Se: 0.2386 0.7896 0.3179
Se: 0.2652 0.2652 0.2955
Se: 0.7348 0.7348 0.7045
Se: 0.7614 0.2104 0.6821
Se: 0.7896 0.2386 0.3179
Se: 0.7896 0.7896 0.3179

***

(7)
VASP calculation (GGA-PBE) on Er4Tl2N after structural relaxation.

Computed properties:
The space group is P2_1/m, No. 11. The uncorrected formation energy is -0.6499 eV per atom.

a = 6.4174 Å, b = 6.8412 Å, c = 8.8870 Å
α = 90.00°, β = 109.19°, γ = 90.00°
Element x y z (fractional)
Er: 0.0329 0.0048 0.2796
Er: 0.0329 0.4952 0.2796
Er: 0.3513 0.7500 0.0467
Er: 0.4180 0.7500 0.6523
Er: 0.5820 0.2500 0.3477
Er: 0.6487 0.2500 0.9533
Er: 0.9671 0.5048 0.7204
Er: 0.9671 0.9952 0.7204
Tl: 0.2002 0.2500 0.0227
Tl: 0.3172 0.2500 0.5931
Tl: 0.6828 0.7500 0.4069
Tl: 0.7998 0.7500 0.9773
N: 0.1945 0.7500 0.7910
N: 0.8055 0.2500 0.2090

***

(8)
VASP calculation (GGA-PBE) on PrEr2I8 after structural relaxation.

Computed properties:
The space group is C2/m, No. 12. The uncorrected formation energy is -1.2196 eV per atom.

a = 9.6507 Å, b = 9.6507 Å, c = 7.4154 Å
α = 90.70°, β = 90.70°, γ = 61.98°
Element x y z (fractional)
Pr: 0.0000 0.0000 0.0000
Er: 0.1643 0.1643 0.6312
Er: 0.8357 0.8357 0.3688
I: 0.1577 0.6916 0.2449
I: 0.1662 0.1662 0.2365
I: 0.3084 0.8423 0.7551
I: 0.3275 0.3275 0.7379
I: 0.6725 0.6725 0.2621
I: 0.6916 0.1577 0.2449
I: 0.8338 0.8338 0.7635
I: 0.8423 0.3084 0.7551

***

| no. | spin magnetization (μB per atom) |
| --- | --- |
| 1 | 0.000 |
| 2 | 0.000 |
| 3 | 0.000 |
| 4 | 0.983 |
| 5 | 0.000 |
| 6 | 0.066 |
| 7 | 0.000 |
| 8 | 0.092 |